No. 1
A plane-wave DFT calculation with PBE was carried out for a relaxed NdPaAgGe crystal.

a = 5.173 Å, b = 5.173 Å, c = 5.173 Å
α = 60.00°, β = 60.00°, γ = 60.00°
Fractional positions:
1 Pa 0.500 0.500 0.500
2 Ge 0.750 0.750 0.750
3 Nd 0.000 0.000 0.000
4 Ag 0.250 0.250 0.250

Properties
Total energy = -5.557 eV per atom
Calculated formation energy = -0.1237 eV per atom

No. 2
A plane-wave DFT calculation with PBE was carried out for a relaxed Rb2ScReI6 crystal.

a = 8.057 Å, b = 8.057 Å, c = 8.052 Å
α = 59.98°, β = 59.98°, γ = 90.00°
Fractional positions:
1 I 0.757 0.757 0.000
2 I 0.243 0.757 0.000
3 I 0.757 0.243 0.000
4 I 0.757 0.757 0.486
5 I 0.243 0.243 0.514
6 I 0.243 0.243 0.000
7 Re 0.000 0.000 0.000
8 Rb 0.750 0.250 0.500
9 Rb 0.250 0.750 0.500
10 Sc 0.500 0.500 0.000

Properties
Uncorrected formation energy = -0.58 eV/atom
Total energy = -3.586 eV per atom

No. 3
A plane-wave DFT calculation with PBE was carried out for a relaxed TaOsW2 crystal.

a = 9.737 Å, b = 9.737 Å, c = 9.737 Å
α = 16.56°, β = 16.56°, γ = 16.56°
Fractional positions:
1 W 0.998 0.998 0.998
2 W 0.246 0.246 0.246
3 Os 0.503 0.503 0.503
4 Ta 0.753 0.753 0.753

Properties
Excess energy over the best structure of this formula in the dataset = 309 meV/atom
Total energy = -11.996 eV per atom
Calculated formation energy = 0.2512 eV per atom

No. 4
A plane-wave DFT calculation with PBE was carried out for a relaxed TlGaOs2C crystal.

a = 5.077 Å, b = 3.956 Å, c = 5.077 Å
α = 90.00°, β = 90.00°, γ = 90.00°
Fractional positions:
1 Tl 0.000 0.000 0.000
2 C 0.000 0.500 0.000
3 Os 0.000 0.000 0.500
4 Os 0.500 0.000 0.000
5 Ga 0.500 0.500 0.500

Properties
Total energy = -4.265 eV per atom
Calculated formation energy = 3.1500 eV per atom

No. 5
A plane-wave DFT calculation with PBE was carried out for a relaxed CaZnI2 crystal.

a = 9.395 Å, b = 9.395 Å, c = 7.832 Å
α = 53.15°, β = 53.15°, γ = 90.00°
Fractional positions:
1 Zn 0.750 0.250 0.500
2 Zn 0.000 0.000 0.000
3 I 0.548 0.125 0.250
4 I 0.875 0.798 0.750
5 I 0.202 0.625 0.250
6 I 0.375 0.452 0.750
7 Ca 0.250 0.750 0.500
8 Ca 0.500 0.500 0.000

Properties
Excess energy over the best structure of this formula in the dataset = 0 meV/atom
Uncorrected formation energy = -0.82 eV/atom
Total energy = -2.415 eV per atom

No. 6
A plane-wave DFT calculation with PBE was carried out for a relaxed In2SnPb crystal.

a = 3.901 Å, b = 3.901 Å, c = 7.466 Å
α = 90.00°, β = 90.00°, γ = 90.00°
Fractional positions:
1 In 0.000 0.000 0.264
2 In 0.000 0.000 0.736
3 Pb 0.500 0.500 0.000
4 Sn 0.500 0.500 0.500

Properties
Excess energy over the best structure of this formula in the dataset = 11 meV/atom
Total energy = -3.263 eV per atom
Calculated formation energy = 0.0342 eV per atom

No. 7
A plane-wave DFT calculation with PBE was carried out for a relaxed CoSbSe crystal.

a = 3.571 Å, b = 5.311 Å, c = 6.084 Å
α = 95.37°, β = 90.00°, γ = 90.00°
Fractional positions:
1 Sb 0.500 0.281 0.852
2 Sb 0.500 0.719 0.148
3 Co 0.500 0.500 0.500
4 Co 0.000 0.000 0.000
5 Se 0.000 0.233 0.356
6 Se 0.000 0.767 0.644

Properties
Uncorrected formation energy = -0.22 eV/atom
Total energy = -5.128 eV per atom

No. 8
A plane-wave DFT calculation with PBE was carried out for a relaxed RbMnS3 crystal.

a = 6.207 Å, b = 6.207 Å, c = 8.092 Å
α = 90.01°, β = 67.45°, γ = 60.00°
Fractional positions:
1 S 0.086 0.164 0.932
2 S 0.340 0.033 0.547
3 S 0.086 0.660 0.932
4 S 0.844 0.033 0.547
5 S 0.583 0.164 0.932
6 S 0.340 0.536 0.547
7 Rb 0.956 0.477 0.375
8 Rb 0.470 0.720 0.104
9 Mn 0.044 0.933 0.743
10 Mn 0.382 0.264 0.736

Properties
Excess energy over the best structure of this formula in the dataset = 57 meV/atom
Uncorrected formation energy = -0.57 eV/atom
Total energy = -5.076 eV per atom

No. 9
A plane-wave DFT calculation with PBE was carried out for a relaxed Hf3Al3Cu2 crystal.

a = 4.084 Å, b = 5.366 Å, c = 13.625 Å
α = 90.00°, β = 90.00°, γ = 112.36°
Fractional positions:
1 Al 0.623 0.246 0.038
2 Al 0.377 0.754 0.962
3 Al 0.623 0.246 0.462
4 Al 0.361 0.721 0.250
5 Al 0.377 0.754 0.538
6 Al 0.639 0.279 0.750
7 Cu 0.787 0.574 0.605
8 Cu 0.213 0.426 0.395
9 Cu 0.213 0.426 0.105
10 Cu 0.787 0.574 0.895
11 Hf 0.926 0.853 0.118
12 Hf 0.074 0.147 0.882
13 Hf 0.926 0.853 0.382
14 Hf 0.351 0.703 0.750
15 Hf 0.074 0.147 0.618
16 Hf 0.649 0.297 0.250

Properties
Total energy = -6.510 eV per atom
Calculated formation energy = -0.3495 eV per atom

No. 10
A plane-wave DFT calculation with PBE was carried out for a relaxed CsMgZnHg2 crystal.

a = 5.705 Å, b = 5.705 Å, c = 5.453 Å
α = 90.00°, β = 90.00°, γ = 90.00°
Fractional positions:
1 Hg 0.500 0.000 0.000
2 Hg 0.000 0.500 0.000
3 Cs 0.500 0.500 0.500
4 Mg 0.000 0.000 0.000
5 Zn 0.000 0.000 0.500

Properties
Excess energy over the best structure of this formula in the dataset = 0 meV/atom
Total energy = -0.885 eV per atom
Calculated formation energy = -0.0197 eV per atom

No. 11
A plane-wave DFT calculation with PBE was carried out for a relaxed ZnCdO2 crystal.

a = 3.168 Å, b = 6.148 Å, c = 5.467 Å
α = 91.28°, β = 90.06°, γ = 90.00°
Fractional positions:
1 Cd 0.388 0.989 0.134
2 Cd 0.379 0.489 0.135
3 O 0.915 0.236 0.004
4 O 0.852 0.736 0.004
5 O 0.205 0.517 0.538
6 O 0.558 0.017 0.539
7 Zn 0.051 0.209 0.644
8 Zn 0.712 0.709 0.644

Properties
Uncorrected formation energy = -1.14 eV/atom
Total energy = -4.164 eV per atom

No. 12
A plane-wave DFT calculation with PBE was carried out for a relaxed Mn3HgBr8 crystal.

a = 7.907 Å, b = 7.913 Å, c = 8.313 Å
α = 119.13°, β = 90.00°, γ = 119.97°
Fractional positions:
1 Br 0.749 0.498 0.776
2 Br 0.251 0.502 0.224
3 Br 0.749 0.022 0.776
4 Br 0.741 0.481 0.217
5 Br 0.728 0.978 0.224
6 Br 0.272 0.022 0.776
7 Br 0.251 0.978 0.224
8 Br 0.259 0.519 0.783
9 Hg 0.000 0.000 0.000
10 Mn 0.500 0.500 0.000
11 Mn 0.500 0.000 0.000
12 Mn 0.000 0.500 0.000

Properties
Uncorrected formation energy = -0.68 eV/atom
Total energy = -4.116 eV per atom

No. 13
A plane-wave DFT calculation with PBE was carried out for a relaxed SrCoTe2Au crystal.

a = 5.601 Å, b = 4.786 Å, c = 5.601 Å
α = 90.00°, β = 90.00°, γ = 90.00°
Fractional positions:
1 Co 0.000 0.500 0.000
2 Te 0.000 0.000 0.500
3 Te 0.500 0.000 0.000
4 Sr 0.500 0.500 0.500
5 Au 0.000 0.000 0.000

Properties
Uncorrected formation energy = -0.05 eV/atom
Total energy = -3.719 eV per atom

No. 14
A plane-wave DFT calculation with PBE was carried out for a relaxed BaInAs4 crystal.

a = 5.982 Å, b = 5.982 Å, c = 5.982 Å
α = 60.00°, β = 60.00°, γ = 60.00°
Fractional positions:
1 Ba 0.750 0.750 0.750
2 In 0.000 0.000 0.000
3 As 0.906 0.365 0.365
4 As 0.365 0.906 0.365
5 As 0.365 0.365 0.365
6 As 0.365 0.365 0.906

Properties
Total energy = -4.097 eV per atom
Calculated formation energy = -0.2201 eV per atom

No. 15
A plane-wave DFT calculation with PBE was carried out for a relaxed AgSnSCl2 crystal.

a = 5.251 Å, b = 5.251 Å, c = 5.063 Å
α = 90.00°, β = 90.00°, γ = 90.00°
Fractional positions:
1 S 0.000 0.000 0.500
2 Ag 0.500 0.500 0.500
3 Cl 0.500 0.000 0.000
4 Cl 0.000 0.500 0.000
5 Sn 0.000 0.000 0.000

Properties
Excess energy over the best structure of this formula in the dataset = 0 meV/atom
Uncorrected formation energy = -0.18 eV/atom
Total energy = -3.118 eV per atom

No. 16
A plane-wave DFT calculation with PBE was carried out for a relaxed ScZn2Ga crystal.

a = 4.147 Å, b = 4.037 Å, c = 4.037 Å
α = 90.00°, β = 90.00°, γ = 90.00°
Fractional positions:
1 Sc 0.500 0.000 0.000
2 Ga 0.500 0.500 0.500
3 Zn 0.000 0.000 0.500
4 Zn 0.000 0.500 0.000

Properties
Total energy = -3.351 eV per atom
Calculated formation energy = -0.3746 eV per atom

No. 17
A plane-wave DFT calculation with PBE was carried out for a relaxed CaRe2OsRh crystal.

a = 4.749 Å, b = 4.873 Å, c = 4.749 Å
α = 90.00°, β = 90.00°, γ = 90.00°
Fractional positions:
1 Ca 0.500 0.500 0.500
2 Re 0.500 0.000 0.000
3 Re 0.000 0.000 0.500
4 Rh 0.000 0.500 0.000
5 Os 0.000 0.000 0.000

Properties
Total energy = -7.768 eV per atom
Calculated formation energy = 1.3277 eV per atom

No. 18
A plane-wave DFT calculation with PBE was carried out for a relaxed CsYTlI6 crystal.

a = 8.242 Å, b = 8.242 Å, c = 8.311 Å
α = 90.02°, β = 89.98°, γ = 59.98°
Fractional positions:
1 Y 0.667 0.667 0.500
2 I 0.623 0.981 0.278
3 I 0.981 0.396 0.278
4 I 0.396 0.981 0.722
5 I 0.623 0.397 0.722
6 I 0.397 0.623 0.278
7 I 0.981 0.623 0.722
8 Tl 0.333 0.333 0.500
9 Cs 0.000 0.000 0.000

Properties
Uncorrected formation energy = -1.08 eV/atom
Total energy = -3.190 eV per atom

No. 19
A plane-wave DFT calculation with PBE was carried out for a relaxed CePr5Ho12 crystal.

a = 10.726 Å, b = 10.734 Å, c = 6.197 Å
α = 73.39°, β = 90.00°, γ = 60.02°
Fractional positions:
1 Ho 0.002 0.331 0.001
2 Ho 0.329 0.000 0.000
3 Ho 0.834 0.000 0.500
4 Ho 0.671 0.000 0.000
5 Ho 0.835 0.667 0.500
6 Ho 0.667 0.331 0.000
7 Ho 0.333 0.669 0.000
8 Ho 0.165 0.333 0.500
9 Ho 0.498 0.667 0.500
10 Ho 0.166 0.000 0.500
11 Ho 0.502 0.333 0.500
12 Ho 0.998 0.669 0.999
13 Pr 0.500 0.000 0.500
14 Pr 0.333 0.334 0.000
15 Pr 0.667 0.666 0.000
16 Pr 0.165 0.670 0.493
17 Pr 0.835 0.330 0.507
18 Ce 0.000 0.000 0.000

Properties
Total energy = -4.676 eV per atom
Calculated formation energy = 0.0330 eV per atom

No. 20
A plane-wave DFT calculation with PBE was carried out for a relaxed NaSmEr2Te4 crystal.

a = 4.349 Å, b = 7.643 Å, c = 7.655 Å
α = 108.83°, β = 90.00°, γ = 90.00°
Fractional positions:
1 Te 0.000 0.755 0.259
2 Te 0.500 0.253 0.259
3 Te 0.500 0.747 0.741
4 Te 0.000 0.245 0.741
5 Sm 0.500 0.500 0.000
6 Er 0.500 0.000 0.500
7 Er 0.000 0.500 0.500
8 Na 0.000 0.000 0.000

Properties
Uncorrected formation energy = -1.30 eV/atom
Total energy = -4.768 eV per atom